Version 1
Material: Pu2HgBr
Method: DFT, GGA-PBE
State: optimized geometry

The structure in POSCAR format:
```
Pu2HgBr
1.0
3.4079 0.0000 0.0000
0.0000 3.4079 0.0000
0.0000 0.0000 8.7859
Pu Hg Br
2 1 1
direct
0.0000 0.0000 0.2502
0.0000 0.0000 0.7498
0.5000 0.5000 0.0000
0.5000 0.5000 0.5000
```


Version 2
Material: Pu2HgBr
Method: DFT, GGA-PBE
State: optimized geometry

The structure in POSCAR format:
```
Pu2HgBr
1.0
7.5004 0.0000 0.0000
0.0000 7.5004 0.0000
0.0000 0.0000 7.5004
Pu Hg Br
8 4 4
direct
0.2500 0.2500 0.2500
0.2500 0.2500 0.7500
0.2500 0.7500 0.2500
0.2500 0.7500 0.7500
0.7500 0.2500 0.2500
0.7500 0.2500 0.7500
0.7500 0.7500 0.2500
0.7500 0.7500 0.7500
0.0000 0.0000 0.0000
0.0000 0.5000 0.5000
0.5000 0.0000 0.5000
0.5000 0.5000 0.0000
0.0000 0.0000 0.5000
0.0000 0.5000 0.0000
0.5000 0.0000 0.0000
0.5000 0.5000 0.5000
```


Of them, version 1 has the highest stability.


Version 1
Material: Rb3HgBr
Method: DFT, GGA-PBE
State: optimized geometry

The structure in POSCAR format:
```
Rb3HgBr
1.0
6.7242 0.0000 0.0000
0.0000 6.7242 0.0000
0.0000 0.0000 6.7242
Rb Hg Br
3 1 1
direct
0.0000 0.0000 0.5000
0.0000 0.5000 0.0000
0.5000 0.0000 0.0000
0.5000 0.5000 0.5000
0.0000 0.0000 0.0000
```


Version 2
Material: Rb3HgBr
Method: DFT, GGA-PBE
State: optimized geometry

The structure in POSCAR format:
```
Rb3HgBr
1.0
10.7733 0.0000 0.0000
0.0000 4.7415 0.0000
-4.3615 0.0000 9.9165
Rb Hg Br
6 2 2
direct
0.1030 0.2500 0.2579
0.2974 0.2500 0.9872
0.3638 0.7500 0.6148
0.6362 0.2500 0.3852
0.7026 0.7500 0.0128
0.8970 0.7500 0.7422
0.0688 0.2500 0.5930
0.9312 0.7500 0.4070
0.3637 0.7500 0.2791
0.6363 0.2500 0.7209
```


Of them, version 2 has the highest stability.


Version 1
Material: RbHgBr4
Method: DFT, GGA-PBE
State: optimized geometry

The structure in POSCAR format:
```
RbHgBr4
1.0
4.7136 -5.6154 0.0000
4.7136 5.6154 0.0000
-4.4486 0.0000 9.7392
Rb Hg Br
2 2 8
direct
0.1179 0.8821 0.7500
0.8821 0.1179 0.2500
0.3620 0.6380 0.2500
0.6380 0.3620 0.7500
0.1230 0.6364 0.3959
0.2337 0.2664 0.0894
0.2664 0.2337 0.5894
0.3636 0.8770 0.1041
0.6364 0.1230 0.8959
0.7336 0.7663 0.4106
0.7663 0.7336 0.9106
0.8770 0.3636 0.6041
```


Version 2
Material: RbHgBr4
Method: DFT, GGA-PBE
State: optimized geometry

The structure in POSCAR format:
```
RbHgBr4
1.0
8.3228 -4.3006 0.0000
8.3228 4.3006 0.0000
-1.2534 0.0000 6.7115
Rb Hg Br
2 2 8
direct
0.2101 0.7899 0.7500
0.7899 0.2101 0.2500
0.0000 0.5000 0.0000
0.5000 0.0000 0.5000
0.0878 0.7349 0.1835
0.1970 0.4098 0.7265
0.2651 0.9122 0.3165
0.4098 0.1970 0.2265
0.5902 0.8030 0.7735
0.7349 0.0878 0.6835
0.8030 0.5902 0.2735
0.9122 0.2651 0.8165
```


Of them, version 2 has the highest stability.